Record 1
A plane-wave DFT calculation with PBE-GGA was carried out for a relaxed structure of NaP3I.

Unit cell a=5.238 b=5.238 c=5.238 alpha=90.00 beta=90.00 gamma=90.00
Last column: magnetic moment on the atom in μB.
Element x y z (fractional)
P1 0.000 0.000 0.500  0.13
P2 0.500 0.000 0.000  0.09
P3 0.000 0.500 0.000  0.11
Na1 0.500 0.500 0.500  0.00
I1 0.000 0.000 0.000  0.00

## Properties
mass density = 2.8 g/cm3
raw total energy = -13.29 eV for the cell shown
size of the total moment = 0.1480 μB per atom
calculated volume = 144 Å³ per cell
formation energy without anion corrections = 1.163 eV/atom
DOS at the Fermi energy = 6.113 states/eV/cell
ΔE to the lowest computed polymorph = 0 meV per atom

---

Record 2
A plane-wave DFT calculation with PBE-GGA was carried out for a relaxed structure of Rb2NaPI6.

Unit cell a=8.556 b=8.556 c=8.219 alpha=58.63 beta=58.63 gamma=60.00
Element x y z (fractional)
I1 0.149 0.017 0.298
I2 0.483 0.615 0.806
I3 0.536 0.149 0.298
I4 0.017 0.536 0.297
I5 0.615 0.096 0.806
I6 0.096 0.483 0.806
Na1 0.816 0.816 0.552
P1 0.316 0.316 0.052
Rb1 0.566 0.566 0.303
Rb2 0.067 0.067 0.798

## Properties
mass density = 3.9 g/cm3
raw total energy = -26.09 eV for the cell shown
size of the total moment = 0.0000 μB per atom
calculated volume = 416 Å³ per cell
formation energy without anion corrections = -0.812 eV/atom
DOS at the Fermi energy = 0.000 states/eV/cell